This record from Alexandria describes a relaxed K3Co2F8 crystal. The functional is PBE with a Hubbard U.

Calculated values
Space group: No. 166
DOS at the Fermi energy in states/eV/atom: 1.1533
Size of the total moment in μB per cell: 7.00
Total DFT energy (no corrections) in eV/atom: -4.5575

Cell lengths 6.118, 6.118, 7.931 Å; angles 67.31, 67.31, 60.00 degrees
Fractional coordinates of all 13 atoms:
K1 0.000 0.000 0.000
K2 0.197 0.197 0.408
K3 0.803 0.803 0.592
Co1 0.405 0.405 0.785
Co2 0.595 0.595 0.215
F1 0.318 0.318 0.046
F2 0.682 0.682 0.954
F3 0.268 0.767 0.697
F4 0.767 0.268 0.697
F5 0.268 0.268 0.697
F6 0.233 0.732 0.303
F7 0.732 0.233 0.303
F8 0.732 0.732 0.303